(1)
Here is a relaxed structure of Mg3CoOs from Alexandria via LeMat-Bulk. Energies are from PBE.

abc: 4.570 4.570 4.570
angles: 90.00 90.00 90.00
Space group Pm-3m (No. 221)
Asymmetric unit:
1 Mg 0.000 0.000 0.500
2 Co 0.000 0.000 0.000
3 Os 0.500 0.500 0.500

Energy above the most stable polymorph in this dataset (kJ/mol of formula units): 0

=====

(2)
Here is a relaxed structure of KCu3I from Alexandria via LeMat-Bulk. Energies are from PBE.

abc: 5.261 5.261 5.261
angles: 90.00 90.00 90.00
Space group Pm-3m (No. 221)
Asymmetric unit:
1 K 0.000 0.000 0.000
2 Cu 0.000 0.500 0.500
3 I 0.500 0.500 0.500

Energy above the most stable polymorph in this dataset (kJ/mol of formula units): 0
ΔE_f (raw) (eV per atom): 0.790

=====

(3)
Here is a relaxed structure of AsAuO2 from Alexandria via LeMat-Bulk. Energies are from PBE.

abc: 5.063 5.063 10.206
angles: 90.00 90.00 90.00
Space group I-42d (No. 122)
Asymmetric unit:
1 As 0.000 0.000 0.000
2 Au 0.000 0.000 0.500
3 O 0.180 0.250 0.125

ΔE_f (raw) (eV per atom): -0.145

=====

Please write out number 1 again, unchanged.
Here is a relaxed structure of Mg3CoOs from Alexandria via LeMat-Bulk. Energies are from PBE.

abc: 4.570 4.570 4.570
angles: 90.00 90.00 90.00
Space group Pm-3m (No. 221)
Asymmetric unit:
1 Mg 0.000 0.000 0.500
2 Co 0.000 0.000 0.000
3 Os 0.500 0.500 0.500

Energy above the most stable polymorph in this dataset (kJ/mol of formula units): 0

=====

Please write out number 3 again, unchanged.
Here is a relaxed structure of AsAuO2 from Alexandria via LeMat-Bulk. Energies are from PBE.

abc: 5.063 5.063 10.206
angles: 90.00 90.00 90.00
Space group I-42d (No. 122)
Asymmetric unit:
1 As 0.000 0.000 0.000
2 Au 0.000 0.000 0.500
3 O 0.180 0.250 0.125

ΔE_f (raw) (eV per atom): -0.145